The following is a GGA-PBE calculation of a relaxed structure of Al2OsRu, from Alexandria.

```
data_Al2OsRu
_chemical_formula_sum 'Al2 Os1 Ru1'
_symmetry_space_group_name_H-M 'P 4 m m'
_symmetry_Int_Tables_number 99
_symmetry_space_group_name_Hall 'P 4 -2'
_cell_length_a 2.7742
_cell_length_b 2.7742
_cell_length_c 7.7695
_cell_angle_alpha 90.00
_cell_angle_beta 90.00
_cell_angle_gamma 90.00
loop_
_atom_site_label
_atom_site_type_symbol
_atom_site_fract_x
_atom_site_fract_y
_atom_site_fract_z
Al1 Al 0.0000 0.0000 0.0000
Al2 Al 0.5000 0.5000 0.2992
Os1 Os 0.0000 0.0000 0.5392
Ru1 Ru 0.5000 0.5000 0.7624
```

E_tot: -28.7 eV/cell
total magnetic moment: 0.0 μB per formula unit

---

The following is a GGA-PBE calculation of a relaxed structure of Mn3HgP, from Alexandria.

```
data_Mn3HgP
_chemical_formula_sum 'Mn3 Hg1 P1'
_symmetry_space_group_name_H-M 'P m -3 m'
_symmetry_Int_Tables_number 221
_symmetry_space_group_name_Hall '-P 4 2 3'
_cell_length_a 4.9608
_cell_length_b 4.9608
_cell_length_c 4.9608
_cell_angle_alpha 90.00
_cell_angle_beta 90.00
_cell_angle_gamma 90.00
loop_
_atom_site_label
_atom_site_type_symbol
_atom_site_fract_x
_atom_site_fract_y
_atom_site_fract_z
Mn1 Mn 0.0000 0.0000 0.5000
Hg1 Hg 0.0000 0.0000 0.0000
P1 P 0.5000 0.5000 0.5000
```

total magnetic moment: 12.3 μB per formula unit
distance to the lowest polymorph of the same formula: 1105.7 meV/atom

---

The following is a GGA-PBE calculation of a relaxed structure of Er5CoBi, from Alexandria.

```
data_Er5CoBi
_chemical_formula_sum 'Er20 Co4 Bi4'
_symmetry_space_group_name_H-M 'C 1 2/c 1'
_symmetry_Int_Tables_number 15
_symmetry_space_group_name_Hall '-C 2yc'
_cell_length_a 11.7880
_cell_length_b 8.5015
_cell_length_c 9.3598
_cell_angle_alpha 90.00
_cell_angle_beta 108.37
_cell_angle_gamma 90.00
loop_
_atom_site_label
_atom_site_type_symbol
_atom_site_fract_x
_atom_site_fract_y
_atom_site_fract_z
Er1 Er 0.0000 0.0945 0.2500
Er2 Er 0.0934 0.2705 0.9722
Er3 Er 0.2152 0.1117 0.6443
Co1 Co 0.0000 0.0000 0.0000
Bi1 Bi 0.0000 0.4529 0.2500
```

E_tot: -137.8 eV/cell
total magnetic moment: 0.0 μB per formula unit

---

The following is a GGA-PBE calculation of a relaxed structure of Sr2LiMgAg2, from Alexandria.

```
data_Sr2LiMgAg2
_chemical_formula_sum 'Sr8 Li4 Mg4 Ag8'
_symmetry_space_group_name_H-M 'I b a m'
_symmetry_Int_Tables_number 72
_symmetry_space_group_name_Hall '-I 2 2c'
_cell_length_a 6.4245
_cell_length_b 16.4673
_cell_length_c 6.4270
_cell_angle_alpha 90.00
_cell_angle_beta 90.00
_cell_angle_gamma 90.00
loop_
_atom_site_label
_atom_site_type_symbol
_atom_site_fract_x
_atom_site_fract_y
_atom_site_fract_z
Sr1 Sr 0.2444 0.1714 0.0000
Li1 Li 0.0000 0.0000 0.2500
Mg1 Mg 0.0000 0.5000 0.2500
Ag1 Ag 0.2453 0.3906 0.0000
```

E_tot: -55.9 eV/cell
total magnetic moment: 0.0 μB per formula unit

---

The following is a GGA-PBE calculation of a relaxed structure of TlAu, from Alexandria.

```
data_TlAu
_chemical_formula_sum 'Tl4 Au4'
_symmetry_space_group_name_H-M 'F m -3 m'
_symmetry_Int_Tables_number 225
_symmetry_space_group_name_Hall '-F 4 2 3'
_cell_length_a 5.9550
_cell_length_b 5.9550
_cell_length_c 5.9550
_cell_angle_alpha 90.00
_cell_angle_beta 90.00
_cell_angle_gamma 90.00
loop_
_atom_site_label
_atom_site_type_symbol
_atom_site_fract_x
_atom_site_fract_y
_atom_site_fract_z
Tl1 Tl 0.0000 0.0000 0.0000
Au1 Au 0.0000 0.0000 0.5000
```

E_tot: -22.4 eV/cell
total magnetic moment: 0.0 μB per formula unit

---

The following is a GGA-PBE calculation of a relaxed structure of Ac8PtRh3S4, from Alexandria.

```
data_Ac8PtRh3S4
_chemical_formula_sum 'Ac24 Pt3 Rh9 S12'
_symmetry_space_group_name_H-M 'R -3 m'
_symmetry_Int_Tables_number 166
_symmetry_space_group_name_Hall '-R 3 2"'
_cell_length_a 8.5317
_cell_length_b 8.5317
_cell_length_c 22.6519
_cell_angle_alpha 90.00
_cell_angle_beta 90.00
_cell_angle_gamma 120.00
loop_
_atom_site_label
_atom_site_type_symbol
_atom_site_fract_x
_atom_site_fract_y
_atom_site_fract_z
Ac1 Ac 0.0000 0.0000 0.2448
Ac2 Ac 0.0041 0.5020 0.7549
Pt1 Pt 0.0000 0.0000 0.5000
Rh1 Rh 0.0000 0.5000 0.5000
S1 S 0.0000 0.0000 0.0000
S2 S 0.0000 0.5000 0.0000
```

formation energy without anion corrections: -1.361 eV per atom
total magnetic moment: 0.0 μB per formula unit

---

The following is a GGA-PBE calculation of a relaxed structure of GdDyThMg, from Alexandria.

```
data_GdDyThMg
_chemical_formula_sum 'Gd4 Dy4 Th4 Mg4'
_symmetry_space_group_name_H-M 'F -4 3 m'
_symmetry_Int_Tables_number 216
_symmetry_space_group_name_Hall 'F -4 2 3'
_cell_length_a 7.8582
_cell_length_b 7.8582
_cell_length_c 7.8582
_cell_angle_alpha 90.00
_cell_angle_beta 90.00
_cell_angle_gamma 90.00
loop_
_atom_site_label
_atom_site_type_symbol
_atom_site_fract_x
_atom_site_fract_y
_atom_site_fract_z
Gd1 Gd 0.0000 0.0000 0.0000
Dy1 Dy 0.0000 0.0000 0.5000
Th1 Th 0.2500 0.2500 0.2500
Mg1 Mg 0.2500 0.2500 0.7500
```

E_tot: -108.3 eV/cell
total magnetic moment: 8.7 μB per formula unit

---

The following is a GGA-PBE calculation of a relaxed structure of Pr8As6Se, from Alexandria.

```
data_Pr8As6Se
_chemical_formula_sum 'Pr8 As6 Se1'
_symmetry_space_group_name_H-M 'P -3'
_symmetry_Int_Tables_number 147
_symmetry_space_group_name_Hall '-P 3'
_cell_length_a 10.8338
_cell_length_b 10.8338
_cell_length_c 4.4953
_cell_angle_alpha 90.00
_cell_angle_beta 90.00
_cell_angle_gamma 120.00
loop_
_atom_site_label
_atom_site_type_symbol
_atom_site_fract_x
_atom_site_fract_y
_atom_site_fract_z
Pr1 Pr 0.0322 0.6955 0.2607
Pr2 Pr 0.3333 0.6667 0.7461
As1 As 0.1322 0.4767 0.2417
Se1 Se 0.0000 0.0000 0.5000
```

formation energy without anion corrections: -1.177 eV per atom
total magnetic moment: 0.0 μB per formula unit